VASP calculation (PBE-GGA) on a geometry-optimized Tm3Ag3SbSe8 structure.

a b c (Å): 8.1709 8.1691 8.1087
angles (deg): 120.36 90.00 120.01
Fractional coordinates of all 15 atoms:
Se  0.7555  0.5111  0.2605
Se  0.2445  0.4889  0.7395
Se  0.7515  0.9960  0.7396
Se  0.2531  0.5061  0.2601
Se  0.2485  0.0040  0.2604
Se  0.2445  0.9960  0.7396
Se  0.7555  0.0040  0.2604
Se  0.7469  0.4939  0.7399
Ag  0.0000  0.5000  0.0000
Ag  0.0000  0.0000  0.0000
Ag  0.5000  0.5000  0.0000
Tm  0.5000  0.5000  0.5000
Tm  0.5000  0.0000  0.5000
Tm  0.0000  0.5000  0.5000
Sb  0.0000  0.0000  0.5000

electronic total energy: -4.5498 eV per atom
crystal system: monoclinic
ΔE_f (raw): -14.3 eV per formula unit
D(E_F): 3.362 states/eV/cell